Material: AcCdH6Ir2
Method: DFT, PBE
State: relaxed

The value obtained for the uncorrected energy is -4.58 eV per atom.

It has space group R-3m (No. 166, hexagonal axes), with a = 4.8230 Å, b = 4.8230 Å, c = 16.5454 Å, α = 90.00°, β = 90.00° and γ = 120.00°. The asymmetric unit holds Ac at (0.0000, 0.0000, 0.0000), Cd at (0.0000, 0.0000, 0.5000), H at (0.0279, 0.5140, 0.9394) and Ir at (0.0000, 0.0000, 0.2102).